# 1
A relaxed structure of Zr2CrIr. Source: Alexandria, functional GGA-PBEsol.

The structure belongs to space group I-4m2 (No. 119); the cell edges are 3.8138, 3.8138 and 9.4527 Å and the angles 90.00°, 90.00° and 90.00°. The distinct sites, in fractional coordinates, are Zr at (0.0000, 0.0000, 0.0000), Zr at (0.0000, 0.5000, 0.2500), Cr at (0.0000, 0.0000, 0.5000) and Ir at (0.0000, 0.5000, 0.7500).

The calculation puts the energy above the lowest structure with this stoichiometry at 0.0 meV/atom. The calculation puts the density at 10.306 g cm⁻³.

---

# 2
A relaxed structure of Zr2CrIr. Source: Alexandria, functional GGA-PBEsol.

The structure belongs to space group Pmm2 (No. 25); the cell edges are 3.0469, 4.3085 and 5.3825 Å and the angles 90.00°, 90.00° and 90.00°. The distinct sites, in fractional coordinates, are Zr at (0.0000, 0.0000, 0.0000), Zr at (0.5000, 0.5000, 0.3440), Cr at (0.0000, 0.0000, 0.5016) and Ir at (0.5000, 0.5000, 0.8338).

The calculation puts the energy above the lowest structure with this stoichiometry at 132.3 meV/atom. The calculation puts the density at 10.027 g cm⁻³.

---

# 3
A relaxed structure of ZrCrIr. Source: Alexandria, functional GGA-PBEsol.

The structure belongs to space group F-43m (No. 216); the cell edges are 6.0996, 6.0996 and 6.0996 Å and the angles 90.00°, 90.00° and 90.00°. The distinct sites, in fractional coordinates, are Zr at (0.0000, 0.0000, 0.0000), Cr at (0.2500, 0.2500, 0.7500) and Ir at (0.2500, 0.2500, 0.2500).

The calculation puts the energy above the lowest structure with this stoichiometry at 380.3 meV/atom. The calculation puts the density at 9.818 g cm⁻³.

---

# 4
A relaxed structure of ZrCr2Ir. Source: Alexandria, functional GGA-PBEsol.

The structure belongs to space group R3m (No. 160, hexagonal axes); the cell edges are 2.8172, 2.8172 and 25.2564 Å and the angles 90.00°, 90.00° and 120.00°. The distinct sites, in fractional coordinates, are Zr at (0.0000, 0.0000, 0.0000), Cr at (0.0000, 0.0000, 0.4912), Cr at (0.0000, 0.0000, 0.7621) and Ir at (0.0000, 0.0000, 0.2385).

The calculation puts the density at 11.118 g cm⁻³.

---

# 5
A relaxed structure of ZrCrIr. Source: Alexandria, functional GGA-PBEsol.

The structure belongs to space group F-43m (No. 216); the cell edges are 6.1220, 6.1220 and 6.1220 Å and the angles 90.00°, 90.00° and 90.00°. The distinct sites, in fractional coordinates, are Zr at (0.0000, 0.0000, 0.0000), Cr at (0.0000, 0.0000, 0.5000) and Ir at (0.2500, 0.2500, 0.2500).

The calculation puts the energy above the lowest structure with this stoichiometry at 0.0 meV/atom. The calculation puts the density at 9.710 g cm⁻³.

---

# 6
A relaxed structure of K2Cr. Source: Alexandria, functional GGA-PBEsol.

The structure belongs to space group Pnnm (No. 58); the cell edges are 8.8242, 8.9839 and 3.5295 Å and the angles 90.00°, 90.00° and 90.00°. The distinct sites, in fractional coordinates, are K at (0.1913, 0.1716, 0.0000) and Cr at (0.0000, 0.5000, 0.0000).

The calculation puts the energy above the lowest structure with this stoichiometry at 88.8 meV/atom. The calculation puts the density at 1.545 g cm⁻³.

---

# 7
A relaxed structure of KCr. Source: Alexandria, functional GGA-PBEsol.

The structure belongs to space group C2/m (No. 12); the cell edges are 13.3024, 3.2480 and 6.4949 Å and the angles 90.00°, 106.38° and 90.00°. The distinct sites, in fractional coordinates, are K at (0.0974, 0.0000, 0.3110) and Cr at (0.1685, 0.5000, 0.8543).

The calculation puts the energy above the lowest structure with this stoichiometry at 0.0 meV/atom. The calculation puts the density at 2.247 g cm⁻³.

---

# 8
A relaxed structure of KCr. Source: Alexandria, functional GGA-PBEsol.

The structure belongs to space group P4/mmm (No. 123); the cell edges are 3.4088, 3.4088 and 5.5085 Å and the angles 90.00°, 90.00° and 90.00°. The distinct sites, in fractional coordinates, are K at (0.0000, 0.0000, 0.0000) and Cr at (0.5000, 0.5000, 0.5000).

The calculation puts the energy above the lowest structure with this stoichiometry at 99.0 meV/atom. The calculation puts the density at 2.363 g cm⁻³.

---

Values for calculated formation energy, eV/atom, ordered as above
-0.16 -0.03 0.52 0.22 0.14 1.05 1.35 1.45